No. 1
Here is crystalline BaCu2Si at its relaxed geometry from Alexandria. Energies are from PBE.

Cell lengths 4.8376, 4.0860, 4.9948 Å; angles 90.00, 90.10, 90.00 degrees
Last column: nearest neighbours and their distance in Å.
Element x y z (fractional)
Ba 0.0000 0.0000 0.0000  8 Cu 3.45, 4 Si 3.47-3.48
Cu 0.2525 0.5000 0.5004  2 Si 2.37, 2 Cu 2.39-2.44
Cu 0.7475 0.5000 0.4996  2 Si 2.37, 2 Cu 2.39-2.44
Si 0.5000 0.0000 0.5000  4 Cu 2.37

## Properties
E = -3.9353 eV/atom
Calculated density = 4.9 g/cm3
Space-group type = P2/m (10)

=====

No. 2
Here is crystalline Ba3CuSi4 at its relaxed geometry from Alexandria. Energies are from PBE.

Cell lengths 5.5117, 6.8173, 13.2517 Å; angles 90.00, 90.00, 90.00 degrees
Last column: nearest neighbours and their distance in Å.
Element x y z (fractional)
Ba 0.0000 0.0000 0.0000  8 Si 3.30
Ba 0.0000 0.5000 0.1850  2 Si 3.24
Ba 0.0000 0.5000 0.8150  2 Si 3.24
Ba 0.5000 0.0000 0.3150  2 Si 3.24
Ba 0.5000 0.0000 0.6850  2 Si 3.24
Ba 0.5000 0.5000 0.5000  8 Si 3.30
Cu 0.0000 0.0000 0.5000  4 Si 2.41
Cu 0.5000 0.5000 0.0000  4 Si 2.41
Si 0.0000 0.3046 0.4078  1 Cu 2.41, 2 Si 2.44-2.66
Si 0.0000 0.3046 0.5922  1 Cu 2.41, 2 Si 2.44-2.66
Si 0.0000 0.6954 0.4078  1 Cu 2.41, 2 Si 2.44-2.66
Si 0.0000 0.6954 0.5922  1 Cu 2.41, 2 Si 2.44-2.66
Si 0.5000 0.1954 0.0922  1 Cu 2.41, 2 Si 2.44-2.66
Si 0.5000 0.1954 0.9078  1 Cu 2.41, 2 Si 2.44-2.66
Si 0.5000 0.8046 0.0922  1 Cu 2.41, 2 Si 2.44-2.66
Si 0.5000 0.8046 0.9078  1 Cu 2.41, 2 Si 2.44-2.66

## Properties
E = -4.1498 eV/atom
Calculated density = 3.9 g/cm3
Space-group type = Immm (71)

=====

No. 3
Here is crystalline BaCu2Si at its relaxed geometry from Alexandria. Energies are from PBE.

Cell lengths 7.2788, 4.2032, 6.1743 Å; angles 90.00, 113.05, 90.00 degrees
Last column: nearest neighbours and their distance in Å.
Element x y z (fractional)
Ba 0.0000 0.0000 0.0000  8 Cu 3.20-3.47
Ba 0.5000 0.5000 0.0000  8 Cu 3.20-3.47
Cu 0.1877 0.0000 0.5628  3 Si 2.45, 3 Cu 2.53
Cu 0.3123 0.5000 0.4372  3 Si 2.45, 3 Cu 2.53
Cu 0.6877 0.5000 0.5628  3 Si 2.45, 3 Cu 2.53
Cu 0.8123 0.0000 0.4372  3 Si 2.45, 3 Cu 2.53
Si 0.0000 0.5000 0.5000  6 Cu 2.45
Si 0.5000 0.0000 0.5000  6 Cu 2.45

## Properties
E = -4.1375 eV/atom
Calculated density = 5.6 g/cm3
Space-group type = C2/m (12)

=====

No. 4
Here is crystalline BaCu2Si at its relaxed geometry from Alexandria. Energies are from PBE.

Cell lengths 4.4815, 4.3200, 5.1299 Å; angles 90.00, 94.65, 90.00 degrees
Last column: nearest neighbours and their distance in Å.
Element x y z (fractional)
Ba 0.0000 0.0000 0.0000  8 Cu 3.26-3.58, 2 Si 3.55
Cu 0.2006 0.5000 0.5304  2 Si 2.26-2.28
Cu 0.5051 0.0000 0.4933  2 Si 2.33, 2 Cu 2.57
Si 0.6921 0.5000 0.4573  4 Cu 2.26-2.33

## Properties
E = -4.0421 eV/atom
Calculated density = 4.9 g/cm3
Space-group type = Pm (6)

=====

No. 5
Here is crystalline Ba4CuSi at its relaxed geometry from Alexandria. Energies are from PBE.

Cell lengths 7.0127, 7.0127, 7.0127 Å; angles 60.00, 60.00, 60.00 degrees
Last column: nearest neighbours and their distance in Å.
Element x y z (fractional)
Ba 0.3758 0.3758 0.3758  6 Ba 3.48-3.53
Ba 0.3758 0.3758 0.8726  6 Ba 3.48-3.53
Ba 0.3758 0.8726 0.3758  6 Ba 3.48-3.53
Ba 0.8726 0.3758 0.3758  6 Ba 3.48-3.53
Cu 0.0000 0.0000 0.0000  12 Ba 4.11, 4 Si 4.29
Si 0.7500 0.7500 0.7500  12 Ba 4.11, 4 Cu 4.29

## Properties
E = -2.1267 eV/atom
Calculated density = 4.4 g/cm3
Space-group type = F-43m (216)

=====

No. 6
Here is crystalline BaCu2Si at its relaxed geometry from Alexandria. Energies are from PBE.

Cell lengths 6.7054, 6.7156, 3.8397 Å; angles 90.00, 90.54, 90.00 degrees
Last column: nearest neighbours and their distance in Å.
Element x y z (fractional)
Ba 0.0000 0.0000 0.0000  8 Cu 3.04-3.06, 4 Si 3.35-3.36
Ba 0.5000 0.5000 0.0000  8 Cu 3.04-3.06, 4 Si 3.35-3.36
Cu 0.2500 0.2500 0.5000  4 Ba 3.04-3.06, 4 Si 3.04-3.06, 4 Cu 3.35-3.36
Cu 0.2500 0.7500 0.5000  4 Ba 3.04-3.06, 4 Si 3.04-3.06, 4 Cu 3.35-3.36
Cu 0.7500 0.2500 0.5000  4 Ba 3.04-3.06, 4 Si 3.04-3.06, 4 Cu 3.35-3.36
Cu 0.7500 0.7500 0.5000  4 Ba 3.04-3.06, 4 Si 3.04-3.06, 4 Cu 3.35-3.36
Si 0.0000 0.5000 0.0000  8 Cu 3.04-3.06, 4 Ba 3.35-3.36
Si 0.5000 0.0000 0.0000  8 Cu 3.04-3.06, 4 Ba 3.35-3.36

## Properties
E = -3.4138 eV/atom
Calculated density = 5.6 g/cm3
Space-group type = C2/m (12)

=====

No. 7
Here is crystalline Ba8CuSi16 at its relaxed geometry from Alexandria. Energies are from PBE.

Cell lengths 9.3110, 6.7473, 11.5406 Å; angles 90.00, 90.48, 90.00 degrees
Last column: nearest neighbours and their distance in Å.
Element x y z (fractional)
Ba 0.0000 0.0000 0.0000  9 Si 3.39-3.63
Ba 0.0222 0.5000 0.3801  9 Si 3.39-3.63
Ba 0.1632 0.0000 0.5979  10 Si 3.46-3.68
Ba 0.3440 0.5000 0.1060  1 Cu 3.18, 4 Si 3.44-3.49
Ba 0.5047 0.0000 0.8856  9 Si 3.37-3.68, 2 Cu 3.48
Ba 0.5283 0.5000 0.5011  9 Si 3.43-3.63
Ba 0.6597 0.0000 0.2872  10 Si 3.45-3.66
Ba 0.8780 0.5000 0.7767  1 Cu 3.14, 7 Si 3.32-3.50
Cu 0.5896 0.5000 0.9156  3 Si 2.24-2.34
Si 0.1016 0.0000 0.2828  3 Si 2.43-2.44
Si 0.2012 0.3185 0.8365  3 Si 2.40-2.45
Si 0.2012 0.6815 0.8365  3 Si 2.40-2.45
Si 0.2106 0.5000 0.6548  3 Si 2.38-2.43
Si 0.3137 0.0000 0.1599  3 Si 2.41-2.44
Si 0.3167 0.1783 0.3413  3 Si 2.41-2.43
Si 0.3167 0.8217 0.3413  3 Si 2.41-2.43
Si 0.4124 0.5000 0.7828  1 Cu 2.24, 3 Si 2.38-2.40
Si 0.6048 0.0000 0.6005  3 Si 2.43
Si 0.7063 0.5000 0.2220  3 Si 2.41-2.47
Si 0.7123 0.3008 0.0491  1 Cu 2.34, 2 Si 2.41-2.42
Si 0.7123 0.6992 0.0491  1 Cu 2.34, 2 Si 2.41-2.42
Si 0.8163 0.0000 0.7246  3 Si 2.42-2.43
Si 0.8198 0.1782 0.5432  3 Si 2.41-2.43
Si 0.8198 0.8218 0.5432  3 Si 2.41-2.43
Si 0.9201 0.5000 0.0972  3 Si 2.42-2.47

## Properties
E = -4.5818 eV/atom
Polymorph energy (0 for the lowest one) = 0 meV/atom
Calculated density = 3.7 g/cm3
Space-group type = Pm (6)

=====

No. 8
Here is crystalline Ba2Cu5Si4 at its relaxed geometry from Alexandria. Energies are from PBE.

Cell lengths 6.0258, 6.0258, 7.8677 Å; angles 117.17, 117.17, 68.77 degrees
Last column: nearest neighbours and their distance in Å.
Element x y z (fractional)
Ba 0.0689 0.0689 0.3308  5 Si 3.18-3.49, 4 Cu 3.37-3.40
Ba 0.9311 0.9311 0.6692  5 Si 3.18-3.49, 4 Cu 3.37-3.40
Cu 0.1497 0.5353 0.9348  4 Si 2.36-2.53, 1 Cu 2.62
Cu 0.4647 0.8503 0.0652  4 Si 2.36-2.53, 1 Cu 2.62
Cu 0.5000 0.5000 0.5000  4 Si 2.34-2.49
Cu 0.5353 0.1497 0.9348  4 Si 2.36-2.53, 1 Cu 2.62
Cu 0.8503 0.4647 0.0652  4 Si 2.36-2.53, 1 Cu 2.62
Si 0.2890 0.2890 0.1538  5 Cu 2.34-2.45, 1 Si 2.44
Si 0.4358 0.4358 0.7642  5 Cu 2.40-2.53, 1 Si 2.44
Si 0.5642 0.5642 0.2358  5 Cu 2.40-2.53, 1 Si 2.44
Si 0.7110 0.7110 0.8462  5 Cu 2.34-2.45, 1 Si 2.44

## Properties
E = -4.4203 eV/atom
Calculated density = 5.3 g/cm3
Space-group type = C2/m (12)

=====

No. 9
Here is crystalline BaCu2Si at its relaxed geometry from Alexandria. Energies are from PBE.

Cell lengths 3.3322, 3.3322, 7.2871 Å; angles 90.00, 90.00, 90.00 degrees
Last column: nearest neighbours and their distance in Å.
Element x y z (fractional)
Ba 0.0000 0.0000 0.0000  4 Ba 3.33, 6 Cu 3.41-3.70, 4 Si 3.42
Cu 0.0000 0.0000 0.5079  4 Si 2.60, 4 Cu 2.66
Cu 0.5000 0.5000 0.3374  1 Si 2.34
Si 0.5000 0.5000 0.6591  5 Cu 2.34-2.60

## Properties
E = -3.7146 eV/atom
Calculated density = 6.0 g/cm3
Space-group type = P4mm (99)

=====

No. 10
Here is crystalline Ba8CuSi16 at its relaxed geometry from Alexandria. Energies are from PBE.

Cell lengths 7.0008, 9.1828, 11.6776 Å; angles 88.89, 87.24, 84.88 degrees
Last column: nearest neighbours and their distance in Å.
Element x y z (fractional)
Ba 0.0000 0.0000 0.0000  1 Cu 3.09, 4 Si 3.35-3.46
Ba 0.0008 0.5561 0.3100  9 Si 3.35-3.72
Ba 0.0186 0.2061 0.6054  8 Si 3.27-3.65
Ba 0.4651 0.8494 0.4850  8 Si 3.33-3.63
Ba 0.4935 0.1942 0.2090  7 Si 3.31-3.64
Ba 0.5107 0.7108 0.1089  8 Si 3.43-3.83
Ba 0.5273 0.4370 0.8049  1 Cu 2.97, 1 Si 3.31
Ba 0.9265 0.6885 0.6930  1 Si 3.01
Cu 0.2751 0.2310 0.9220  4 Si 2.35-2.42
Si 0.0015 0.3936 0.8768  1 Cu 2.39, 3 Si 2.42-2.53
Si 0.1442 0.9312 0.2761  2 Si 2.34-2.37
Si 0.1781 0.4107 0.0599  1 Cu 2.36, 3 Si 2.41-2.53
Si 0.2102 0.9097 0.7298  2 Si 2.31-2.40
Si 0.3092 0.5122 0.5455  3 Si 2.41-2.45
Si 0.3911 0.1038 0.7565  3 Si 2.31-2.58, 1 Cu 2.35
Si 0.4840 0.2816 0.4932  3 Si 2.42-2.50
Si 0.4838 0.4996 0.3621  3 Si 2.39-2.50
Si 0.4975 0.8343 0.8269  4 Si 2.40-2.65
Si 0.5248 0.0374 0.9547  1 Cu 2.42, 3 Si 2.44-2.58
Si 0.6607 0.4883 0.5323  3 Si 2.39-2.45
Si 0.7185 0.0218 0.7749  3 Si 2.37-2.46
Si 0.8138 0.8989 0.2606  2 Si 2.37
Si 0.8318 0.3985 0.0625  3 Si 2.42-2.46
Si 0.9526 0.8932 0.4420  2 Si 2.34-2.37
Si 0.9782 0.6172 0.9888  3 Si 2.41-2.46

## Properties
E = -4.4681 eV/atom
Polymorph energy (0 for the lowest one) = 114 meV/atom
Calculated density = 3.6 g/cm3
Space-group type = P1 (1)

=====

No. 11
Here is crystalline BaCu2Si at its relaxed geometry from Alexandria. Energies are from PBE.

Cell lengths 5.0746, 5.0746, 15.4566 Å; angles 90.00, 90.00, 90.00 degrees
Last column: nearest neighbours and their distance in Å.
Element x y z (fractional)
Ba 0.0000 0.2500 0.3750  8 Cu 3.43, 4 Si 3.59
Ba 0.0000 0.7500 0.6250  8 Cu 3.43, 4 Si 3.59
Ba 0.5000 0.2500 0.1250  8 Cu 3.43, 4 Si 3.59
Ba 0.5000 0.7500 0.8750  8 Cu 3.43, 4 Si 3.59
Cu 0.0000 0.0000 0.0000  2 Si 2.31, 2 Cu 2.54
Cu 0.0000 0.5000 0.0000  2 Si 2.31, 2 Cu 2.54
Cu 0.2500 0.2500 0.7500  2 Si 2.31, 2 Cu 2.54
Cu 0.2500 0.7500 0.2500  2 Si 2.31, 2 Cu 2.54
Cu 0.5000 0.0000 0.5000  2 Si 2.31, 2 Cu 2.54
Cu 0.5000 0.5000 0.5000  2 Si 2.31, 2 Cu 2.54
Cu 0.7500 0.2500 0.7500  2 Si 2.31, 2 Cu 2.54
Cu 0.7500 0.7500 0.2500  2 Si 2.31, 2 Cu 2.54
Si 0.0000 0.2500 0.8750  4 Cu 2.31
Si 0.0000 0.7500 0.1250  4 Cu 2.31
Si 0.5000 0.2500 0.6250  4 Cu 2.31
Si 0.5000 0.7500 0.3750  4 Cu 2.31

## Properties
E = -4.0556 eV/atom
Calculated density = 4.9 g/cm3
Space-group type = I4_1/amd (141)

=====

No. 12
Here is crystalline Ba2CuSi2 at its relaxed geometry from Alexandria. Energies are from PBE.

Cell lengths 4.7034, 4.3386, 14.2307 Å; angles 90.00, 90.00, 90.00 degrees
Last column: nearest neighbours and their distance in Å.
Element x y z (fractional)
Ba 0.0000 0.0000 0.0000  1 Ba 3.37, 2 Si 3.47, 4 Cu 3.58
Ba 0.0000 0.0000 0.2369  2 Cu 3.17, 1 Ba 3.37, 8 Si 3.41-3.43
Ba 0.0000 0.5000 0.5000  1 Ba 3.37, 2 Si 3.47, 4 Cu 3.58
Ba 0.0000 0.5000 0.7369  2 Cu 3.17, 1 Ba 3.37, 8 Si 3.41-3.43
Cu 0.5000 0.0000 0.3864  2 Si 2.36
Cu 0.5000 0.5000 0.8864  2 Si 2.36
Si 0.5000 0.0000 0.6498  1 Si 2.43
Si 0.5000 0.0000 0.8203  2 Cu 2.36, 1 Si 2.43
Si 0.5000 0.5000 0.1498  1 Si 2.43
Si 0.5000 0.5000 0.3203  2 Cu 2.36, 1 Si 2.43

## Properties
E = -3.9351 eV/atom
Polymorph energy (0 for the lowest one) = 0 meV/atom
Calculated density = 4.5 g/cm3
Space-group type = Amm2 (38)

=====

Values of energy relative to the elements, uncorrected, in order: -0.05; -0.21; -0.25; -0.16; 0.74; 0.47; -0.33; -0.24; 0.17; -0.22; -0.17; -0.18, all in eV/atom.